The following is a GGA-PBE calculation of a geometry-optimized Tl2CrIr structure, from Alexandria via LeMat-Bulk.

The space group is R3m (No. 160, hexagonal axes) and the conventional cell measures 3.1665, 3.1665 and 28.1950 Å, with angles of 90.00, 90.00 and 120.00 degrees. The inequivalent atoms are Tl at (0.0000, 0.0000, 0.0000), Tl at (0.0000, 0.0000, 0.2308), Cr at (0.0000, 0.0000, 0.7506) and Ir at (0.0000, 0.0000, 0.4784).

As for the volume: 244.8 Å³/cell. The energy above the most stable polymorph in this dataset is 169.7 meV/atom. The calculation puts the energy relative to the elements at 513.8 meV per atom. The value obtained for the density of states at the Fermi level is 0.732 states/eV/atom.

---

The following is a GGA-PBE calculation of a geometry-optimized TlCrIr2 structure, from Alexandria via LeMat-Bulk.

The space group is Cmmm (No. 65) and the conventional cell measures 5.8927, 7.3793 and 2.9916 Å, with angles of 90.00, 90.00 and 90.00 degrees. The inequivalent atoms are Tl at (0.0000, 0.0000, 0.0000), Cr at (0.0000, 0.5000, 0.0000) and Ir at (0.2500, 0.2500, 0.5000).

As for the volume: 130.1 Å³/cell. The energy above the most stable polymorph in this dataset is 208.0 meV/atom. The calculation puts the energy relative to the elements at 406.1 meV per atom. The value obtained for the density of states at the Fermi level is 0.812 states/eV/atom.